Here is an optimized crystal structure of Tb8Cd2In from the Alexandria database. Energies are from GGA-PBE.

Output
Formation energy (meV/atom): -65
SG: No. 12

Cell: 8.639 8.639 5.477 Å, 101.20 101.20 118.68°
Atoms (fractional coordinates):
1 Tb 0.093 0.320 0.610
2 Tb 0.220 0.780 0.000
3 Tb 0.320 0.093 0.610
4 Tb 0.398 0.398 0.198
5 Tb 0.602 0.602 0.802
6 Tb 0.680 0.907 0.390
7 Tb 0.780 0.220 0.000
8 Tb 0.907 0.680 0.390
9 Cd 0.307 0.693 0.500
10 Cd 0.693 0.307 0.500
11 In 0.000 0.000 0.000

---

Here is an optimized crystal structure of Co2Ag2Sb from the Alexandria database. Energies are from GGA-PBE.

Output
Formation energy (no corrections) (eV/f.u.): 1.39
SG: No. 127

Cell: 6.279 6.279 4.204 Å, 90.00 90.00 90.00°
Atoms (fractional coordinates):
1 Co 0.128 0.372 0.000
2 Co 0.372 0.872 0.000
3 Co 0.628 0.128 0.000
4 Co 0.872 0.628 0.000
5 Ag 0.166 0.666 0.500
6 Ag 0.334 0.166 0.500
7 Ag 0.666 0.834 0.500
8 Ag 0.834 0.334 0.500
9 Sb 0.000 0.000 0.000
10 Sb 0.500 0.500 0.000